1.
Material: YCuNi4
Method: DFT, SCAN
State: PBEsol geometry

Lattice parameters (Å, degrees): 4.780 4.780 4.780 60.00 60.00 60.00
Element x y z (fractional)
Cu (0.000, 0.000, 0.000)
Ni (0.626, 0.626, 0.122)
Ni (0.122, 0.626, 0.626)
Ni (0.626, 0.122, 0.626)
Ni (0.626, 0.626, 0.626)
Y (0.250, 0.250, 0.250)

Computed properties:
- E_tot: -18.19 eV/atom
- SG: F-43m
- Calculated formation energy: -0.2348 eV per atom
- DOS at the Fermi energy: 5.98 states/eV/f.u.



2.
Material: NaSi2Bi2
Method: DFT, SCAN
State: PBEsol geometry

Lattice parameters (Å, degrees): 3.818 7.984 7.984 90.00 90.00 90.00
Element x y z (fractional)
Na (0.000, 0.000, 0.000)
Na (0.000, 0.500, 0.500)
Si (0.000, 0.391, 0.891)
Si (0.000, 0.891, 0.609)
Si (0.000, 0.609, 0.109)
Si (0.000, 0.109, 0.391)
Bi (0.500, 0.176, 0.676)
Bi (0.500, 0.676, 0.824)
Bi (0.500, 0.824, 0.324)
Bi (0.500, 0.324, 0.176)

Computed properties:
- E_tot: -35.95 eV/atom
- SG: P4/mbm
- DOS at the Fermi energy: 1.63 states/eV/f.u.
- Formation energy (no corrections): 0.335 eV/atom